RuW2F2: relaxed, PBE+U.

## Properties
Crystal system: tetragonal
Relative energy among the computed polymorphs, eV/atom: 0.000
Space group: I4/mmm, No. 139

Lattice parameters (Å, degrees): 3.4046 3.4046 6.3271 74.39 74.39 90.00
Sites, in units of the cell vectors:
F 0.7500 0.2500 0.5000
F 0.2500 0.7500 0.5000
W 0.6093 0.6093 0.7813
W 0.3907 0.3907 0.2187
Ru 0.0000 0.0000 0.0000